Entry from Alexandria via LeMat-Bulk: BaNdMg17 after structural relaxation (PBE).

Cell: 7.924 7.924 7.924 Å, 82.54 82.54 82.54°
Fractional positions:
Ba 0.000 0.000 0.000
Nd 0.334 0.334 0.334
Mg 0.018 0.018 0.498
Mg 0.018 0.498 0.018
Mg 0.162 0.664 0.664
Mg 0.317 0.317 0.812
Mg 0.317 0.812 0.317
Mg 0.368 0.660 0.962
Mg 0.368 0.962 0.660
Mg 0.498 0.018 0.018
Mg 0.563 0.563 0.563
Mg 0.660 0.368 0.962
Mg 0.660 0.962 0.368
Mg 0.664 0.162 0.664
Mg 0.664 0.664 0.162
Mg 0.759 0.759 0.759
Mg 0.812 0.317 0.317
Mg 0.962 0.368 0.660
Mg 0.962 0.660 0.368

Values from the calculation:
Volume in A^3/atom: 25.57
Formation energy from the elements in eV/atom: -0.060
SG: R3m (160)
Uncorrected energy in eV per atom: -1.84